Record 1
Material: HfTe
Method: DFT, GGA-PBE
State: optimized geometry

Cell: 4.5519 4.5519 4.5519 Å, 60.00 60.00 60.00°
With the nearest neighbours (Å) after each atom.
Atoms (fractional coordinates):
Te 0.2500 0.2500 0.2500  4 Hf 2.79
Hf 0.0000 0.0000 0.0000  4 Te 2.79

Computed properties:
**Symmetry**: No. 216
**M_tot**: 0.4 μB/f.u.
**Electronic total energy**: -12.68 eV per formula unit


Record 2
Material: PrTaN2O
Method: DFT, GGA-PBE
State: optimized geometry

Cell: 5.7093 9.8690 9.8700 Å, 108.81 90.03 90.00°
With the nearest neighbours (Å) after each atom.
Atoms (fractional coordinates):
O 0.7772 0.4229 0.8702  2 Ta 2.12-2.29
O 0.9081 0.1426 0.8890  2 Ta 2.10-2.19
Pr 0.9960 0.1377 0.3908  1 O 2.37, 2 N 2.53
N 0.7720 0.9092 0.3642  2 Ta 2.00-2.10
N 0.7756 0.6198 0.6609  1 Ta 1.93
Ta 0.9853 0.9944 0.0077  3 N 1.97-2.00, 3 O 2.11-2.19
Ta 0.0196 0.4915 0.5020  5 N 1.97-2.17
Pr 0.4947 0.6128 0.3656  1 O 2.37, 2 N 2.50-2.52
N 0.7114 0.1666 0.6218  2 Ta 2.01-2.09
O 0.9080 0.6338 0.3811  2 Ta 2.12-2.21, 1 Pr 2.37
Ta 0.0197 0.7568 0.2515  4 N 1.93-2.10, 1 O 2.12
Pr 0.0129 0.3538 0.1078  4 N 2.44-2.67, 2 O 2.54-2.61
Pr 0.4926 0.1077 0.8600  3 O 2.40-2.61, 2 N 2.53-2.65
N 0.5826 0.3833 0.1333  2 Ta 1.96-2.03
Ta 0.5152 0.2606 0.2593  4 N 1.93-2.08, 1 O 2.10
Pr 0.5164 0.3955 0.6493  4 N 2.45-2.63, 2 O 2.58-2.62
O 0.7168 0.6648 0.1098  2 Ta 2.13-2.22
N 0.2802 0.3391 0.8813  2 Ta 2.00-2.07
N 0.5798 0.8824 0.6321  2 Ta 1.97-2.00
N 0.7790 0.1179 0.1617  2 Ta 2.00-2.07
N 0.7187 0.8704 0.9126  2 Ta 1.99-2.06
Ta 0.0159 0.2416 0.7399  4 N 1.93-2.09, 1 O 2.10
N 0.2729 0.6340 0.5898  2 Ta 2.01-2.10
N 0.2117 0.3766 0.3333  2 Ta 2.01-2.08
N 0.0794 0.3684 0.6202  2 Ta 1.97-2.01
O 0.4100 0.6204 0.8679  2 Ta 2.13-2.19
Pr 0.9924 0.6370 0.8888  3 O 2.39-2.63, 2 N 2.52-2.66
Ta 0.5201 0.7479 0.7422  4 N 1.93-2.10, 1 O 2.13
Pr 0.0175 0.8517 0.6046  2 O 2.45-2.61, 4 N 2.51-2.61
N 0.2734 0.8384 0.3812  1 Ta 1.93
O 0.4064 0.1096 0.3558  2 Ta 2.10-2.21
N 0.2133 0.0863 0.6303  2 Ta 1.93-2.16
Ta 0.5204 0.9981 0.5059  5 N 1.97-2.18
O 0.2771 0.1307 0.0779  2 Ta 2.11-2.28
N 0.2183 0.5859 0.1321  2 Ta 1.98-2.06
N 0.7124 0.3676 0.4156  2 Ta 1.93-2.15
Pr 0.5147 0.8923 0.1454  2 O 2.45-2.53, 4 N 2.49-2.65
N 0.0832 0.8661 0.1140  2 Ta 1.97-2.02
Ta 0.4849 0.4926 0.0082  3 N 1.96-2.00, 3 O 2.12-2.19
O 0.2146 0.8911 0.8346  2 Ta 2.13-2.25

Computed properties:
**Symmetry**: No. 1
**M_tot**: 0.0 μB/f.u.
**Electronic total energy**: -47.83 eV per formula unit